Entry 1:
First-principles (PBE) data for crystalline MnAgTe2N at its relaxed geometry, as listed in Alexandria. Values from VASP.

```
&SYSTEM
  ibrav = 0, nat = 5, ntyp = 4
/
ATOMIC_SPECIES
Mn 54.94 Mn.upf
Ag 107.87 Ag.upf
Te 127.60 Te.upf
N 14.01 N.upf
ATOMIC_POSITIONS angstrom
Mn 0.000 0.000 0.000
Ag 2.786 2.786 1.975
Te 0.000 2.786 1.975
Te 2.786 0.000 1.975
N 2.786 2.786 0.000
CELL_PARAMETERS angstrom
5.572 0.000 0.000
0.000 5.572 0.000
0.000 0.000 3.951
```

## Properties
M_tot ... 1.196 μB/atom
Energy above the lowest structure with this stoichiometry ... 953 meV per atom
Calculated volume ... 24.5 Å³/atom

---

Entry 2:
First-principles (PBE) data for crystalline Sr3AgPd at its relaxed geometry, as listed in Alexandria. Values from VASP.

```
&SYSTEM
  ibrav = 0, nat = 10, ntyp = 3
/
ATOMIC_SPECIES
Sr 87.62 Sr.upf
Ag 107.87 Ag.upf
Pd 106.42 Pd.upf
ATOMIC_POSITIONS angstrom
Sr 0.000 -5.824 5.443
Sr 0.000 -1.911 4.013
Sr 0.000 1.911 4.013
Sr 0.000 5.824 5.443
Sr 2.172 -2.491 7.450
Sr 2.172 2.491 7.450
Ag 0.000 0.000 7.440
Ag 2.172 0.000 2.007
Pd 2.172 -3.868 4.728
Pd 2.172 3.868 4.728
CELL_PARAMETERS angstrom
4.343 0.000 0.000
0.000 7.735 5.443
0.000 -7.735 5.443
```

## Properties
Energy relative to the elements ... -1.580 eV/f.u.
M_tot ... 0.000 μB/atom
Energy above the lowest structure with this stoichiometry ... 62 meV per atom
Calculated volume ... 36.6 Å³/atom

---

Entry 3:
First-principles (PBE) data for crystalline InAgHg2Br at its relaxed geometry, as listed in Alexandria. Values from VASP.

```
&SYSTEM
  ibrav = 0, nat = 5, ntyp = 4
/
ATOMIC_SPECIES
In 114.82 In.upf
Ag 107.87 Ag.upf
Hg 200.59 Hg.upf
Br 79.90 Br.upf
ATOMIC_POSITIONS angstrom
In 0.000 0.000 0.000
Ag 0.000 0.000 2.758
Hg 0.000 2.713 2.758
Hg 2.713 0.000 2.758
Br 2.713 2.713 0.000
CELL_PARAMETERS angstrom
5.426 0.000 0.000
0.000 5.426 0.000
0.000 0.000 5.517
```

## Properties
M_tot ... 0.000 μB/atom
Calculated volume ... 32.5 Å³/atom

---

Entry 4:
First-principles (PBE) data for crystalline Tl2InBiO4 at its relaxed geometry, as listed in Alexandria. Values from VASP.

```
&SYSTEM
  ibrav = 0, nat = 8, ntyp = 4
/
ATOMIC_SPECIES
Tl 204.38 Tl.upf
In 114.82 In.upf
Bi 208.98 Bi.upf
O 16.00 O.upf
ATOMIC_POSITIONS angstrom
Tl 0.000 0.000 0.000
Tl -0.116 0.251 3.902
In 3.064 -1.700 2.746
Bi 2.962 1.643 1.304
O -1.018 1.988 2.029
O 2.304 0.233 2.928
O 3.478 -2.563 4.608
O 1.970 3.646 1.634
CELL_PARAMETERS angstrom
5.977 0.000 0.000
-2.870 5.250 0.000
-0.283 -3.293 5.315
```

## Properties
M_tot ... 0.000 μB/atom
Calculated volume ... 20.8 Å³/atom

---

Entry 5:
First-principles (PBE) data for crystalline NaFe2AgCl6 at its relaxed geometry, as listed in Alexandria. Values from VASP.

```
&SYSTEM
  ibrav = 0, nat = 10, ntyp = 4
/
ATOMIC_SPECIES
Na 22.99 Na.upf
Fe 55.84 Fe.upf
Ag 107.87 Ag.upf
Cl 35.45 Cl.upf
ATOMIC_POSITIONS angstrom
Na 0.000 0.000 0.000
Fe 0.000 0.000 5.049
Fe 0.000 0.000 13.490
Ag 0.000 0.000 8.890
Cl -1.993 -0.326 6.510
Cl -1.298 -2.214 9.353
Cl 1.279 -1.563 6.510
Cl -1.268 2.231 9.353
Cl 0.714 1.889 6.510
Cl 2.566 -0.017 9.353
CELL_PARAMETERS angstrom
3.316 1.915 5.702
-3.316 1.915 5.702
0.000 -3.829 5.702
```

## Properties
M_tot ... 0.800 μB/atom
Calculated volume ... 21.7 Å³/atom

---

Entry 6:
First-principles (PBE) data for crystalline TeSeN2 at its relaxed geometry, as listed in Alexandria. Values from VASP.

```
&SYSTEM
  ibrav = 0, nat = 4, ntyp = 3
/
ATOMIC_SPECIES
Te 127.60 Te.upf
Se 78.96 Se.upf
N 14.01 N.upf
ATOMIC_POSITIONS angstrom
Te 0.000 0.000 0.000
Se 1.240 0.989 8.044
N 1.206 2.860 4.405
N 1.815 2.360 3.618
CELL_PARAMETERS angstrom
3.886 0.000 0.000
-0.001 3.900 0.000
-0.884 -1.166 8.872
```

## Properties
M_tot ... 0.000 μB/atom
Energy above the lowest structure with this stoichiometry ... 0 meV per atom
Calculated volume ... 33.6 Å³/atom

---

Entry 7:
First-principles (PBE) data for crystalline LiPuPaPt at its relaxed geometry, as listed in Alexandria. Values from VASP.

```
&SYSTEM
  ibrav = 0, nat = 4, ntyp = 4
/
ATOMIC_SPECIES
Li 6.94 Li.upf
Pu 244.00 Pu.upf
Pa 231.04 Pa.upf
Pt 195.08 Pt.upf
ATOMIC_POSITIONS angstrom
Li 0.000 0.000 0.000
Pu 5.247 5.247 5.247
Pa 1.749 1.749 1.749
Pt 3.498 3.498 3.498
CELL_PARAMETERS angstrom
0.000 3.498 3.498
3.498 0.000 3.498
3.498 3.498 0.000
```

## Properties
Energy relative to the elements ... -0.672 eV/f.u.
M_tot ... 1.612 μB/atom
Energy above the lowest structure with this stoichiometry ... 235 meV per atom
Calculated volume ... 21.4 Å³/atom

---

Entry 8:
First-principles (PBE) data for crystalline Li2CrMoN4 at its relaxed geometry, as listed in Alexandria. Values from VASP.

```
&SYSTEM
  ibrav = 0, nat = 8, ntyp = 4
/
ATOMIC_SPECIES
Li 6.94 Li.upf
Cr 52.00 Cr.upf
Mo 95.94 Mo.upf
N 14.01 N.upf
ATOMIC_POSITIONS angstrom
Li 0.000 0.000 0.000
Li 0.000 2.343 2.195
Cr 2.343 0.000 2.195
Mo 0.000 0.000 4.391
N 1.133 1.412 -1.114
N 3.275 1.133 1.114
N 1.211 0.931 3.276
N -0.931 1.211 5.505
CELL_PARAMETERS angstrom
-2.343 2.343 4.391
2.343 -2.343 4.391
2.343 2.343 -4.391
```

## Properties
M_tot ... 0.244 μB/atom
Calculated volume ... 12.1 Å³/atom

---

Entry 9:
First-principles (PBE) data for crystalline Ca2MgPd2 at its relaxed geometry, as listed in Alexandria. Values from VASP.

```
&SYSTEM
  ibrav = 0, nat = 10, ntyp = 3
/
ATOMIC_SPECIES
Ca 40.08 Ca.upf
Mg 24.30 Mg.upf
Pd 106.42 Pd.upf
ATOMIC_POSITIONS angstrom
Ca 1.234 0.810 1.170
Ca 0.225 -0.810 5.099
Ca 8.022 0.810 2.759
Ca 7.013 -0.810 6.687
Mg 4.628 0.739 1.964
Mg 3.619 -0.739 5.893
Pd 2.769 0.797 3.885
Pd 6.487 0.797 0.043
Pd 1.760 -0.797 7.814
Pd 5.478 -0.797 3.972
CELL_PARAMETERS angstrom
5.133 -2.871 0.000
5.133 2.871 0.000
-2.019 0.000 7.857
```

## Properties
Energy relative to the elements ... -3.309 eV/f.u.
M_tot ... 0.000 μB/atom
Calculated volume ... 23.2 Å³/atom

---

Entry 10:
First-principles (PBE) data for crystalline AcPrHg4 at its relaxed geometry, as listed in Alexandria. Values from VASP.

```
&SYSTEM
  ibrav = 0, nat = 6, ntyp = 3
/
ATOMIC_SPECIES
Ac 227.00 Ac.upf
Pr 140.91 Pr.upf
Hg 200.59 Hg.upf
ATOMIC_POSITIONS angstrom
Ac 0.000 0.000 0.000
Pr 2.300 2.306 4.673
Hg 4.604 2.311 2.443
Hg -0.004 2.301 6.903
Hg 2.303 4.619 2.451
Hg 2.296 -0.007 6.895
CELL_PARAMETERS angstrom
4.607 0.000 0.000
0.000 4.623 0.000
-0.008 -0.011 9.346
```

## Properties
Energy relative to the elements ... -1.356 eV/f.u.
M_tot ... 0.000 μB/atom
Energy above the lowest structure with this stoichiometry ... 217 meV per atom
Calculated volume ... 33.2 Å³/atom

---

Entry 11:
First-principles (PBE) data for crystalline LiAc2Zn12Cu3 at its relaxed geometry, as listed in Alexandria. Values from VASP.

```
&SYSTEM
  ibrav = 0, nat = 18, ntyp = 4
/
ATOMIC_SPECIES
Li 6.94 Li.upf
Ac 227.00 Ac.upf
Zn 65.41 Zn.upf
Cu 63.55 Cu.upf
ATOMIC_POSITIONS angstrom
Li 0.000 0.000 0.000
Ac 0.000 0.000 7.079
Ac 0.000 0.000 11.270
Zn 0.000 -2.677 5.411
Zn -2.318 1.338 5.411
Zn -2.338 -1.350 9.380
Zn 0.000 -2.700 8.968
Zn -2.338 1.350 8.968
Zn -2.318 -1.338 12.938
Zn 2.318 1.338 5.411
Zn 2.338 -1.350 9.380
Zn 0.000 2.700 9.380
Zn 2.338 1.350 8.968
Zn 2.318 -1.338 12.938
Zn 0.000 2.677 12.938
Cu -4.334 0.000 9.174
Cu -2.167 1.251 3.058
Cu 2.167 1.251 3.058
CELL_PARAMETERS angstrom
4.334 2.502 6.116
-4.334 2.502 6.116
0.000 -5.005 6.116
```

## Properties
Energy relative to the elements ... 3.361 eV/f.u.
M_tot ... 0.000 μB/atom
Calculated volume ... 22.1 Å³/atom

---

Number 1: energy -4.18 eV/atom. Number 2: energy -2.93 eV/atom. Number 3: energy -1.67 eV/atom. Number 4: energy -4.90 eV/atom. Number 5: energy -4.02 eV/atom. Number 6: energy -5.76 eV/atom. Number 7: energy -8.11 eV/atom. Number 8: energy -7.69 eV/atom. Number 9: energy -3.86 eV/atom. Number 10: energy -1.91 eV/atom. Number 11: energy -1.91 eV/atom.